(1)
Mg6ZrGa: relaxed, PBE.

For the distance to the lowest polymorph of the same formula, the calculation gives 0 meV/atom. The crystal system is orthorhombic. The value obtained for the formation energy is -0.0331 eV/atom.

The space group is Amm2 (No. 38) and the conventional cell measures 5.009, 6.070 and 11.252 Å, with angles of 90.00, 90.00 and 90.00 degrees. Symmetry generates all atoms from Mg at (0.000, 0.000, 0.000), Mg at (0.000, 0.000, 0.488), Mg at (0.000, 0.245, 0.749), Mg at (0.500, 0.250, 0.092), Zr at (0.500, 0.000, 0.845) and Ga at (0.500, 0.000, 0.337).

(2)
Ti7Bi2N2: relaxed, PBE.

The crystal system is monoclinic. The formation energy (no corrections) comes out at -0.363 eV/atom.

The space group is C2/m (No. 12) and the conventional cell measures 7.572, 9.311 and 5.685 Å, with angles of 90.00, 95.21 and 90.00 degrees. Symmetry generates all atoms from Ti at (0.000, 0.000, 0.000), Ti at (0.131, 0.500, 0.680), Ti at (0.166, 0.337, 0.162), Bi at (0.000, 0.175, 0.500) and N at (0.246, 0.500, 0.994).

(3)
ZnPPb2: relaxed, PBE.

For the distance to the lowest polymorph of the same formula, the calculation gives 167 meV/atom. The crystal system is tetragonal. The value obtained for the formation energy is 0.2501 eV/atom.

The space group is P4/mmm (No. 123) and the conventional cell measures 3.675, 3.675 and 7.132 Å, with angles of 90.00, 90.00 and 90.00 degrees. Symmetry generates all atoms from Zn at (0.000, 0.000, 0.000), P at (0.000, 0.000, 0.500) and Pb at (0.500, 0.500, 0.266).

(4)
SbH: relaxed, PBE.

For the distance to the lowest polymorph of the same formula, the calculation gives 238 meV/atom. The crystal system is monoclinic.

The space group is C2/m (No. 12) and the conventional cell measures 7.638, 4.046 and 10.366 Å, with angles of 90.00, 93.20 and 90.00 degrees. Symmetry generates all atoms from Sb at (0.026, 0.000, 0.363), Sb at (0.169, 0.500, 0.077), H at (0.040, 0.500, 0.375) and H at (0.248, 0.500, 0.609).

| no. | Fermi-level density of states (states/eV per atom) |
| --- | --- |
| 1 | 0.350 |
| 2 | 0.961 |
| 3 | 0.473 |
| 4 | 0.143 |